! NaNiMo2Os (PBE, relaxed); values from VASP
&SYSTEM
  ibrav = 0, nat = 5, ntyp = 4
/
ATOMIC_SPECIES
Na 22.99 Na.upf
Ni 58.69 Ni.upf
Mo 95.94 Mo.upf
Os 190.23 Os.upf
ATOMIC_POSITIONS angstrom
Na 0.000 0.000 0.000
Ni 0.000 0.000 2.011
Mo 0.000 2.231 0.000
Mo 2.231 0.000 0.000
Os 2.231 2.231 2.011
CELL_PARAMETERS angstrom
4.463 0.000 0.000
0.000 4.463 0.000
0.000 0.000 4.022
! **Crystal system**: tetragonal
! **Formation enthalpy at 0 K**: 2.40 eV per atom


! NaNiMoS3 (PBE, relaxed); values from VASP
&SYSTEM
  ibrav = 0, nat = 12, ntyp = 4
/
ATOMIC_SPECIES
Na 22.99 Na.upf
Ni 58.69 Ni.upf
Mo 95.94 Mo.upf
S 32.06 S.upf
ATOMIC_POSITIONS angstrom
Na 1.054 0.851 2.203
Na 3.666 2.554 6.135
Ni -1.199 0.851 5.063
Ni 5.920 2.554 3.275
Mo -0.106 2.554 6.846
Mo 4.826 0.851 1.492
S -1.822 0.851 7.166
S 0.211 2.554 4.527
S 3.052 2.554 1.097
S 1.668 0.851 7.241
S 4.509 0.851 3.811
S 6.542 2.554 1.172
CELL_PARAMETERS angstrom
7.679 0.000 0.000
0.000 3.405 0.000
-2.958 0.000 8.338
! **Crystal system**: monoclinic
! **Raw formation energy**: -700 meV/atom


! Na2Ni2MoS4 (PBE, relaxed); values from VASP
&SYSTEM
  ibrav = 0, nat = 9, ntyp = 4
/
ATOMIC_SPECIES
Na 22.99 Na.upf
Ni 58.69 Ni.upf
Mo 95.94 Mo.upf
S 32.06 S.upf
ATOMIC_POSITIONS angstrom
Na 1.628 0.000 0.399
Na 9.081 0.000 6.264
Ni 3.064 0.000 3.467
Ni 7.645 0.000 3.195
Mo -1.228 0.000 3.331
S 0.948 0.000 4.568
S 4.620 0.000 4.989
S 6.089 0.000 1.673
S 9.762 0.000 2.094
CELL_PARAMETERS angstrom
6.583 -1.725 0.000
6.583 1.725 0.000
-2.456 0.000 6.662
! **Crystal system**: monoclinic
! **Raw formation energy**: -669 meV/atom


! NaTl2NiMo (PBE, relaxed); values from VASP
&SYSTEM
  ibrav = 0, nat = 5, ntyp = 4
/
ATOMIC_SPECIES
Na 22.99 Na.upf
Tl 204.38 Tl.upf
Ni 58.69 Ni.upf
Mo 95.94 Mo.upf
ATOMIC_POSITIONS angstrom
Na 0.000 0.000 0.000
Tl 0.000 2.532 0.000
Tl 2.532 0.000 0.000
Ni 0.000 0.000 2.149
Mo 2.532 2.532 2.149
CELL_PARAMETERS angstrom
5.064 0.000 0.000
0.000 5.064 0.000
0.000 0.000 4.297
! **Crystal system**: tetragonal
! **Formation enthalpy at 0 K**: 1.66 eV per atom


| no. | total DFT energy (no corrections) (eV per atom) | DOS at the Fermi energy (states/eV per cell) |
| --- | --- | --- |
| 1 | -5.599 | 4.71 |
| 2 | -5.752 | 5.21 |
| 3 | -5.285 | 4.47 |
| 4 | -2.875 | 6.29 |